1.
{"formula": "Na2CuGeI5", "functional": "GGA-PBE", "state": "optimized geometry", "final_energy_ev_per_atom": -2.782, "m_tot_mub_per_atom": 0.000, "e_form_raw_mev_per_atom": -660, "lattice": [[4.3675, 0.0000, 0.0000], [-2.1837, 9.6332, 0.0000], [0.0000, 0.0000, 14.7160]], "species": ["Na", "Na", "Na", "Na", "Cu", "Cu", "Ge", "Ge", "I", "I", "I", "I", "I", "I", "I", "I", "I", "I"], "fractional_positions": [[0.8821, 0.7642, 0.8308], [0.0913, 0.1826, 0.6592], [0.1179, 0.2358, 0.3308], [0.9087, 0.8174, 0.1592], [0.5650, 0.1301, 0.9316], [0.4350, 0.8699, 0.4316], [0.7872, 0.5744, 0.5308], [0.2128, 0.4256, 0.0308], [0.3642, 0.7283, 0.0056], [0.7039, 0.4078, 0.8887], [0.5019, 0.0037, 0.7747], [0.2784, 0.5568, 0.6745], [0.9485, 0.8970, 0.5281], [0.6358, 0.2717, 0.5056], [0.2961, 0.5922, 0.3887], [0.4981, 0.9963, 0.2747], [0.7216, 0.4432, 0.1745], [0.0515, 0.1030, 0.0281]]}

=====

2.
{"formula": "Be5As", "functional": "GGA-PBE", "state": "optimized geometry", "final_energy_ev_per_atom": -3.589, "m_tot_mub_per_atom": 0.000, "polymorph_energy_ev_per_atom": 0.0000, "formation_enthalpy_0k_ev_per_atom": 0.291, "n_ef_per_ev_cell": 0.75, "lattice": [[-7.0250, 1.2901, -1.3723], [6.2314, -3.6265, 0.9568], [-0.7350, -0.3595, 3.4247]], "species": ["Be", "Be", "Be", "Be", "Be", "As"], "fractional_positions": [[0.3007, 0.6993, 0.0000], [0.6769, 0.3231, 0.0000], [0.4083, 0.5917, 0.5000], [0.7795, 0.2205, 0.5000], [0.1527, 0.8473, 0.5000], [0.0152, 0.9848, 0.0000]]}

=====

3.
{"formula": "InSiAg2", "functional": "GGA-PBE", "state": "optimized geometry", "final_energy_ev_per_atom": -3.237, "m_tot_mub_per_atom": 0.000, "n_ef_per_ev_cell": 1.05, "e_form_raw_mev_per_atom": 229, "lattice": [[2.9487, 0.0000, 0.0000], [0.0000, 4.3170, 0.0000], [0.0000, 0.0000, 5.9703]], "species": ["Ag", "Ag", "In", "Si"], "fractional_positions": [[0.0000, 0.0000, 0.9879], [0.0000, 0.0000, 0.5121], [0.5000, 0.5000, 0.2500], [0.5000, 0.5000, 0.7500]]}

=====

4.
{"formula": "Ta2RhS4", "functional": "GGA-PBE", "state": "optimized geometry", "final_energy_ev_per_atom": -6.618, "m_tot_mub_per_atom": 0.000, "n_ef_per_ev_cell": 4.93, "e_form_raw_mev_per_atom": 177, "lattice": [[-1.6654, 1.4645, 4.1038], [2.0924, -3.5848, 2.1285], [5.2257, 2.3505, 3.9331]], "species": ["S", "S", "S", "S", "Rh", "Ta", "Ta"], "fractional_positions": [[0.2033, 0.2033, 0.5935], [0.7967, 0.7967, 0.4065], [0.0000, 0.5000, 0.0000], [0.5000, 0.0000, 0.0000], [0.0000, 0.0000, 0.0000], [0.3903, 0.3903, 0.2194], [0.6097, 0.6097, 0.7806]]}

=====

5.
{"formula": "Na12H3F5", "functional": "GGA-PBE", "state": "optimized geometry", "final_energy_ev_per_atom": -2.923, "m_tot_mub_per_atom": 0.000, "n_ef_per_ev_cell": 32.62, "lattice": [[12.8284, 0.0000, 0.0000], [-4.2761, 12.0948, 0.0000], [-4.2761, -6.0474, 10.4744]], "species": ["H", "H", "H", "H", "H", "H", "H", "H", "H", "H", "H", "H", "F", "F", "F", "F", "F", "F", "F", "F", "F", "F", "F", "F", "F", "F", "F", "F", "F", "F", "F", "F", "Na", "Na", "Na", "Na", "Na", "Na", "Na", "Na", "Na", "Na", "Na", "Na", "Na", "Na", "Na", "Na", "Na", "Na", "Na", "Na", "Na", "Na", "Na", "Na", "Na", "Na", "Na", "Na", "Na", "Na", "Na", "Na", "Na", "Na", "Na", "Na", "Na", "Na", "Na", "Na", "Na", "Na", "Na", "Na", "Na", "Na", "Na", "Na"], "fractional_positions": [[0.7500, 0.3750, 0.1250], [0.8750, 0.7500, 0.1250], [0.3750, 0.7500, 0.6250], [0.2500, 0.1250, 0.3750], [0.8750, 0.1250, 0.2500], [0.3750, 0.6250, 0.2500], [0.6250, 0.3750, 0.7500], [0.1250, 0.8750, 0.7500], [0.7500, 0.8750, 0.6250], [0.6250, 0.2500, 0.3750], [0.1250, 0.2500, 0.8750], [0.2500, 0.6250, 0.8750], [0.1250, 0.3750, 0.2500], [0.0000, 0.5000, 0.0000], [0.0000, 0.0000, 0.0000], [0.3750, 0.2500, 0.1250], [0.5000, 0.0000, 0.5000], [0.5000, 0.5000, 0.0000], [0.1250, 0.7500, 0.3750], [0.7500, 0.1250, 0.8750], [0.7500, 0.6250, 0.3750], [0.3750, 0.1250, 0.7500], [0.6250, 0.8750, 0.2500], [0.5000, 0.5000, 0.5000], [0.5000, 0.0000, 0.0000], [0.0000, 0.0000, 0.5000], [0.2500, 0.3750, 0.6250], [0.2500, 0.8750, 0.1250], [0.0000, 0.5000, 0.5000], [0.8750, 0.2500, 0.6250], [0.6250, 0.7500, 0.8750], [0.8750, 0.6250, 0.7500], [0.7049, 0.1273, 0.0269], [0.3220, 0.5269, 0.3996], [0.9731, 0.3727, 0.2951], [0.5269, 0.2049, 0.1273], [0.5776, 0.7049, 0.6780], [0.9731, 0.6004, 0.1780], [0.3220, 0.7951, 0.4224], [0.1004, 0.9224, 0.1273], [0.6004, 0.9731, 0.6780], [0.7049, 0.5776, 0.1780], [0.7951, 0.4731, 0.3727], [0.8220, 0.8996, 0.0269], [0.1273, 0.7049, 0.5269], [0.3727, 0.3996, 0.0776], [0.0776, 0.8996, 0.3727], [0.4224, 0.1273, 0.6004], [0.0776, 0.1780, 0.2049], [0.4731, 0.6780, 0.1004], [0.8220, 0.9224, 0.2951], [0.1273, 0.4224, 0.1004], [0.3727, 0.9731, 0.7951], [0.6004, 0.6273, 0.4224], [0.8996, 0.8220, 0.5269], [0.7951, 0.3220, 0.9224], [0.3996, 0.3727, 0.5776], [0.1004, 0.1780, 0.4731], [0.2049, 0.6780, 0.0776], [0.1780, 0.0776, 0.7049], [0.6273, 0.0269, 0.2049], [0.8727, 0.5776, 0.8996], [0.5269, 0.3220, 0.8996], [0.5776, 0.8727, 0.3996], [0.9224, 0.8220, 0.7951], [0.9224, 0.1004, 0.6273], [0.8727, 0.2951, 0.4731], [0.1780, 0.1004, 0.9731], [0.6273, 0.6004, 0.9224], [0.3996, 0.0269, 0.3220], [0.2951, 0.4224, 0.8220], [0.2049, 0.5269, 0.6273], [0.8996, 0.0776, 0.8727], [0.6780, 0.2049, 0.5776], [0.4731, 0.7951, 0.8727], [0.0269, 0.3996, 0.8220], [0.4224, 0.2951, 0.3220], [0.0269, 0.6273, 0.7049], [0.6780, 0.4731, 0.6004], [0.2951, 0.8727, 0.9731]]}

=====

6.
{"formula": "Cu2RuCl", "functional": "GGA-PBE", "state": "optimized geometry", "final_energy_ev_per_atom": -4.437, "m_tot_mub_per_atom": 0.217, "polymorph_energy_ev_per_atom": 0.0763, "n_ef_per_ev_cell": 3.28, "e_form_raw_mev_per_atom": 392, "lattice": [[-1.8979, 2.1118, -0.4223], [1.2546, -1.2170, -2.2770], [-5.9756, -5.4466, -0.3815]], "species": ["Ru", "Cu", "Cu", "Cl"], "fractional_positions": [[0.5000, 0.5000, 0.2500], [0.0000, 0.0000, 0.9924], [0.0000, 0.0000, 0.5076], [0.5000, 0.5000, 0.7500]]}